No. 1
Below is a geometry-optimized ScB2H structure, with properties calculated at the GGA-PBE level.

```
ScB2H
1.0
5.4091 0.0000 0.0000
0.0000 5.4091 0.0000
0.0000 0.0000 5.4091
Sc B H
4 8 4
Direct
0.0000 0.0000 0.0000
0.0000 0.5000 0.5000
0.5000 0.0000 0.5000
0.5000 0.5000 0.0000
0.2500 0.2500 0.2500
0.2500 0.2500 0.7500
0.2500 0.7500 0.2500
0.2500 0.7500 0.7500
0.7500 0.2500 0.2500
0.7500 0.2500 0.7500
0.7500 0.7500 0.2500
0.7500 0.7500 0.7500
0.0000 0.0000 0.5000
0.0000 0.5000 0.0000
0.5000 0.0000 0.0000
0.5000 0.5000 0.5000
```

Uncorrected energy = -74.78 eV for the cell shown
SG = Fm-3m
Crystal system = cubic
Energy above the most stable polymorph in this dataset = 1050 meV/atom



No. 2
Below is a geometry-optimized ScB2H8 structure, with properties calculated at the GGA-PBE level.

```
ScB2H8
1.0
4.3136 -3.3427 0.0000
4.3136 3.3427 0.0000
-0.9862 0.0000 3.5279
Sc B H
1 2 8
Direct
0.0000 0.0000 0.0000
0.2148 0.2148 0.6553
0.7852 0.7852 0.3447
0.0137 0.7043 0.2991
0.2299 0.2299 0.3304
0.2957 0.9863 0.7009
0.3519 0.3519 0.8535
0.6481 0.6481 0.1465
0.7043 0.0137 0.2991
0.7701 0.7701 0.6696
0.9863 0.2957 0.7009
```

Uncorrected energy = -48.37 eV for the cell shown
SG = C2/m
Crystal system = monoclinic
Energy above the most stable polymorph in this dataset = 48 meV/atom



No. 3
Below is a geometry-optimized ScB2H structure, with properties calculated at the GGA-PBE level.

```
ScB2H
1.0
3.3083 0.0000 0.0000
0.0000 3.3083 0.0000
0.0000 0.0000 13.2574
Sc B H
4 8 4
Direct
0.0000 0.2500 0.3750
0.0000 0.7500 0.6250
0.5000 0.2500 0.1250
0.5000 0.7500 0.8750
0.0000 0.0000 0.0000
0.0000 0.5000 0.0000
0.2500 0.2500 0.7500
0.2500 0.7500 0.2500
0.5000 0.0000 0.5000
0.5000 0.5000 0.5000
0.7500 0.2500 0.7500
0.7500 0.7500 0.2500
0.0000 0.2500 0.8750
0.0000 0.7500 0.1250
0.5000 0.2500 0.6250
0.5000 0.7500 0.3750
```

Uncorrected energy = -91.58 eV for the cell shown
SG = I4_1/amd
Crystal system = tetragonal
Energy above the most stable polymorph in this dataset = 0 meV/atom